(1)
This record from the Alexandria database describes a relaxed LiLaErFe crystal. The functional is GGA-PBE.

volume	21.885	Å³ per atom
energy of formation from the pure elements	0.129	eV/atom

abc: 4.9840 4.9840 4.9840
angles: 60.00 60.00 60.00
Last column: nearest neighbours and their distance in Å.
Sites, in units of the cell vectors:
La1 0.2500 0.2500 0.2500  4 Fe 3.05, 4 Li 3.05
Fe1 0.5000 0.5000 0.5000  4 La 3.05, 4 Er 3.05
Er1 0.7500 0.7500 0.7500  4 Fe 3.05, 4 Li 3.05
Li1 0.0000 0.0000 0.0000  4 Er 3.05, 4 La 3.05

***

(2)
This record from the Alexandria database describes a relaxed LaEr2FeN4 crystal. The functional is GGA-PBE.

volume	14.016	Å³ per atom
raw formation energy	-1.1898	eV/atom

abc: 3.4119 5.9676 11.4935
angles: 90.00 90.00 106.61
Last column: nearest neighbours and their distance in Å.
Sites, in units of the cell vectors:
Er1 0.6321 0.2643 0.0449  6 N 2.29-2.47
Er2 0.3679 0.7357 0.5449  6 N 2.29-2.47
Er3 0.3679 0.7357 0.9551  6 N 2.29-2.47
Er4 0.6321 0.2643 0.4551  6 N 2.29-2.47
N1 0.0000 0.0000 0.0000  4 Er 2.34
N2 0.7346 0.4693 0.6262  1 Fe 1.87
N3 0.2654 0.5307 0.3738  1 Fe 1.87
N4 0.5918 0.1835 0.2500  2 Fe 1.87
N5 0.7346 0.4693 0.8738  1 Fe 1.87
N6 0.0000 0.0000 0.5000  4 Er 2.34
N7 0.2654 0.5307 0.1262  1 Fe 1.87
N8 0.4082 0.8165 0.7500  2 Fe 1.87
La1 0.1108 0.2217 0.7500  6 N 2.63-2.88
La2 0.8892 0.7783 0.2500  6 N 2.63-2.88
Fe1 0.1593 0.3186 0.2500  4 N 1.87
Fe2 0.8407 0.6814 0.7500  4 N 1.87

***

(3)
This record from the Alexandria database describes a relaxed LiEr6Fe2 crystal. The functional is GGA-PBE.

volume	24.427	Å³ per atom
energy of formation from the pure elements	-0.021	eV/atom

abc: 8.3014 8.3014 8.3014
angles: 106.84 111.09 110.51
Last column: nearest neighbours and their distance in Å.
Sites, in units of the cell vectors:
Er1 0.7918 0.2227 0.0145  1 Fe 2.74, 1 Li 2.95
Er2 0.6978 0.3889 0.6911  3 Fe 2.73-2.88
Er3 0.5260 0.7122 0.8138  2 Fe 2.87
Er4 0.2082 0.7773 0.9855  1 Fe 2.74, 1 Li 2.95
Er5 0.3022 0.9933 0.6911  3 Fe 2.73-2.88
Er6 0.1017 0.2878 0.8138  2 Fe 2.87
Er7 0.2082 0.2227 0.4310  1 Fe 2.74, 1 Li 2.95
Er8 0.4740 0.2878 0.1862  2 Fe 2.87
Er9 0.6978 0.0067 0.3089  3 Fe 2.73-2.88
Er10 0.3022 0.6111 0.3089  3 Fe 2.73-2.88
Er11 0.8983 0.7122 0.1862  2 Fe 2.87
Er12 0.7918 0.7773 0.5690  1 Fe 2.74, 1 Li 2.95
Fe1 0.5000 0.6086 0.1086  1 Fe 2.15
Fe2 0.6176 0.0000 0.6176  1 Fe 2.21
Fe3 0.3824 0.0000 0.3824  1 Fe 2.21
Fe4 0.5000 0.3914 0.8914  1 Fe 2.15
Li1 0.0000 0.5000 0.5000  12 Er 3.37-3.57
Li2 0.0000 0.0000 0.0000  8 Er 2.95-3.24

***

Number 1: D(E_F) 0.969 states/eV/atom. Number 2: D(E_F) 0.389 states/eV/atom. Number 3: D(E_F) 1.038 states/eV/atom.